[1]
Here is CrCuTe2 after structural relaxation from the Alexandria database. Energies are from PBE.

Results
- V (Å³ per atom) = 23.18
- DOS at the Fermi energy (states/eV per cell) = 2.75
- raw total energy (eV/cell) = -18.649
- magnetic moment (Bohr magnetons per cell) = 3.7
- energy above the lowest structure with this stoichiometry (kJ/mol of atoms) = 34.7
- raw formation energy (eV per atom) = 0.338

Structure (POSCAR):
```
CrCuTe2
1.0
1.976 -3.082 0.000
1.976 3.082 0.000
0.000 0.000 7.612
Cr Cu Te
1 1 2
direct
0.000 0.000 0.000
0.000 0.000 0.500
0.500 0.500 0.252
0.500 0.500 0.748
```

[2]
Here is Tl2Cr2CuTe6 after structural relaxation from the Alexandria database. Energies are from PBE.

Results
- V (Å³ per atom) = 29.77
- DOS at the Fermi energy (states/eV per cell) = 7.46
- raw total energy (eV/cell) = -48.540
- magnetic moment (Bohr magnetons per cell) = 5.0
- raw formation energy (eV per atom) = -0.147

Structure (POSCAR):
```
Tl2Cr2CuTe6
1.0
3.463 -6.037 0.000
3.463 6.037 0.000
-2.398 0.000 7.831
Tl Cr Cu Te
2 2 1 6
direct
0.166 0.834 0.000
0.834 0.166 0.000
0.327 0.673 0.500
0.673 0.327 0.500
0.000 0.000 0.500
0.069 0.407 0.692
0.268 0.268 0.325
0.407 0.069 0.692
0.593 0.931 0.308
0.732 0.732 0.675
0.931 0.593 0.308
```

[3]
Here is TlCrCu2Te4 after structural relaxation from the Alexandria database. Energies are from PBE.

Results
- V (Å³ per atom) = 29.40
- DOS at the Fermi energy (states/eV per cell) = 5.31
- raw total energy (eV/cell) = -32.306
- magnetic moment (Bohr magnetons per cell) = 1.2
- raw formation energy (eV per atom) = 0.055

Structure (POSCAR):
```
TlCrCu2Te4
1.0
-3.388 3.987 4.353
3.388 -3.987 4.353
3.388 3.987 -4.353
Tl Cr Cu Te
1 1 2 4
direct
0.000 0.000 0.000
0.500 0.500 0.000
0.354 0.854 0.500
0.646 0.146 0.500
0.141 0.124 0.609
0.485 0.876 0.016
0.515 0.532 0.391
0.859 0.468 0.984
```

[4]
Here is Tl2CrCu2Te4 after structural relaxation from the Alexandria database. Energies are from PBE.

Results
- V (Å³ per atom) = 26.86
- DOS at the Fermi energy (states/eV per cell) = 4.14
- raw total energy (eV/cell) = -36.809
- magnetic moment (Bohr magnetons per cell) = 2.7
- raw formation energy (eV per atom) = -0.188

Structure (POSCAR):
```
Tl2CrCu2Te4
1.0
7.774 -2.031 0.000
7.774 2.031 0.000
-2.916 0.000 7.656
Tl Cr Cu Te
2 1 2 4
direct
0.132 0.132 0.068
0.868 0.868 0.932
0.000 0.000 0.500
0.305 0.305 0.513
0.695 0.695 0.487
0.189 0.189 0.687
0.481 0.481 0.715
0.519 0.519 0.285
0.811 0.811 0.313
```

[5]
Here is TlCrCuTe2 after structural relaxation from the Alexandria database. Energies are from PBE.

Results
- V (Å³ per atom) = 27.95
- DOS at the Fermi energy (states/eV per cell) = 4.56
- raw total energy (eV/cell) = -44.815
- magnetic moment (Bohr magnetons per cell) = 8.0
- raw formation energy (eV per atom) = -0.008

Structure (POSCAR):
```
TlCrCuTe2
1.0
8.423 0.000 0.000
0.000 5.769 0.000
-2.225 0.000 5.751
Tl Cr Cu Te
2 2 2 4
direct
0.000 0.225 0.250
0.000 0.775 0.750
0.500 0.497 0.250
0.500 0.503 0.750
0.500 0.000 0.000
0.500 0.000 0.500
0.262 0.280 0.880
0.262 0.720 0.380
0.738 0.280 0.620
0.738 0.720 0.120
```

[6]
Here is CrCuTeW2 after structural relaxation from the Alexandria database. Energies are from PBE.

Results
- V (Å³ per atom) = 18.85
- DOS at the Fermi energy (states/eV per cell) = 7.59
- raw total energy (eV/cell) = -35.396
- magnetic moment (Bohr magnetons per cell) = 0.0
- raw formation energy (eV per atom) = 1.474

Structure (POSCAR):
```
CrCuTeW2
1.0
4.549 0.000 0.000
0.000 4.549 0.000
0.000 0.000 4.555
Cr Cu Te W
1 1 1 2
direct
0.000 0.000 0.000
0.000 0.000 0.500
0.500 0.500 0.500
0.000 0.500 0.000
0.500 0.000 0.000
```

[7]
Here is ThCrCu4 after structural relaxation from the Alexandria database. Energies are from PBE.

Results
- V (Å³ per atom) = 15.95
- DOS at the Fermi energy (states/eV per cell) = 3.93
- raw total energy (eV/cell) = -33.420
- magnetic moment (Bohr magnetons per cell) = 4.3
- calculated formation energy (eV/atom) = 0.0012

Structure (POSCAR):
```
ThCrCu4
1.0
0.000 3.631 3.631
3.631 0.000 3.631
3.631 3.631 0.000
Th Cr Cu
1 1 4
direct
0.000 0.000 0.000
0.750 0.750 0.750
0.377 0.377 0.377
0.377 0.377 0.868
0.377 0.868 0.377
0.868 0.377 0.377
```

[8]
Here is TiCrCu3 after structural relaxation from the Alexandria database. Energies are from PBE.

Results
- V (Å³ per atom) = 16.52
- DOS at the Fermi energy (states/eV per cell) = 7.03
- raw total energy (eV/cell) = -23.906
- magnetic moment (Bohr magnetons per cell) = 0.0
- energy above the lowest structure with this stoichiometry (kJ/mol of atoms) = 0.0
- calculated formation energy (eV/atom) = 1.1803

Structure (POSCAR):
```
TiCrCu3
1.0
4.355 0.000 0.000
0.000 4.355 0.000
0.000 0.000 4.355
Ti Cr Cu
1 1 3
direct
0.000 0.000 0.000
0.500 0.500 0.500
0.000 0.500 0.500
0.500 0.000 0.500
0.500 0.500 0.000
```

The highest raw total energy belongs to which entry?
CrCuTe2

V of number 6 (CrCuTeW2)?
18.85 Å³ per atom